## KCrO3 (GGA+U)

Data for a relaxed structure of KCrO3.

Calculated values
Total energy = -120.969 eV for the cell shown
M_tot = 1.0 μB per formula unit

Lattice parameters (Å, degrees): 10.327 5.976 4.942 90.00 95.24 90.00
Space group C2/m (No. 12)
Inequivalent atoms, fractional coordinates:
K  0.166  0.000  0.242
Cr  0.000  0.500  0.000
Cr  0.000  0.500  0.500
O  0.071  0.291  0.775
O  0.140  0.500  0.298